A | # PuGaBi | Alexandria | PBE | relaxed
# Total magnetic moment   5.97 μB/cell
# Calculated volume   26.39 Å³ per atom
data_PuGaBi
_cell_length_a 5.244
_cell_length_b 5.244
_cell_length_c 3.324
_cell_angle_alpha 90.00
_cell_angle_beta 90.00
_cell_angle_gamma 120.00
_symmetry_space_group_name_H-M 'P 1'
_symmetry_Int_Tables_number 1
_symmetry_space_group_name_Hall 'P 1'
loop_
_atom_site_label
_atom_site_fract_x
_atom_site_fract_y
_atom_site_fract_z
Pu1 0.000 0.000 0.000
Ga1 0.333 0.667 0.501
Bi1 0.667 0.333 0.499

B | # PuGaBi | Alexandria | PBE | relaxed
# Total magnetic moment   6.28 μB/cell
# Calculated volume   25.56 Å³ per atom
data_PuGaBi
_cell_length_a 6.200
_cell_length_b 6.200
_cell_length_c 6.200
_cell_angle_alpha 145.35
_cell_angle_beta 145.35
_cell_angle_gamma 49.81
_symmetry_space_group_name_H-M 'P 1'
_symmetry_Int_Tables_number 1
_symmetry_space_group_name_Hall 'P 1'
loop_
_atom_site_label
_atom_site_fract_x
_atom_site_fract_y
_atom_site_fract_z
Pu1 0.000 0.000 0.000
Ga1 0.336 0.336 0.000
Bi1 0.696 0.696 0.000

Relative energy table, unit meV/atom: A 12; B 0

A | # PuGa2Bi | Alexandria | PBE | relaxed
# Total magnetic moment   5.30 μB/cell
# Calculated volume   23.05 Å³ per atom
data_PuGa2Bi
_cell_length_a 4.554
_cell_length_b 4.554
_cell_length_c 4.446
_cell_angle_alpha 90.00
_cell_angle_beta 90.00
_cell_angle_gamma 90.00
_symmetry_space_group_name_H-M 'P 1'
_symmetry_Int_Tables_number 1
_symmetry_space_group_name_Hall 'P 1'
loop_
_atom_site_label
_atom_site_fract_x
_atom_site_fract_y
_atom_site_fract_z
Pu1 0.000 0.000 0.000
Ga1 0.000 0.500 0.500
Ga2 0.500 0.000 0.500
Bi1 0.500 0.500 0.000

B | # PuGa2Bi | Alexandria | PBE | relaxed
# Total magnetic moment   5.91 μB/cell
# Calculated volume   23.86 Å³ per atom
data_PuGa2Bi
_cell_length_a 3.786
_cell_length_b 3.786
_cell_length_c 6.657
_cell_angle_alpha 90.00
_cell_angle_beta 90.00
_cell_angle_gamma 90.00
_symmetry_space_group_name_H-M 'P 1'
_symmetry_Int_Tables_number 1
_symmetry_space_group_name_Hall 'P 1'
loop_
_atom_site_label
_atom_site_fract_x
_atom_site_fract_y
_atom_site_fract_z
Pu1 0.000 0.000 0.000
Ga1 0.500 0.500 0.268
Ga2 0.500 0.500 0.732
Bi1 0.000 0.000 0.500

Relative energy table, unit meV/atom: A 0; B 190

A | # Rb3GaBi2 | Alexandria | PBE | relaxed
# Total magnetic moment   0.00 μB/cell
# Calculated volume   46.64 Å³ per atom
data_Rb3GaBi2
_cell_length_a 14.539
_cell_length_b 4.858
_cell_length_c 15.851
_cell_angle_alpha 90.00
_cell_angle_beta 90.00
_cell_angle_gamma 90.00
_symmetry_space_group_name_H-M 'P 1'
_symmetry_Int_Tables_number 1
_symmetry_space_group_name_Hall 'P 1'
loop_
_atom_site_label
_atom_site_fract_x
_atom_site_fract_y
_atom_site_fract_z
Rb1 0.069 0.250 0.115
Rb2 0.116 0.750 0.556
Rb3 0.179 0.250 0.793
Rb4 0.321 0.750 0.293
Rb5 0.384 0.250 0.056
Rb6 0.431 0.750 0.615
Rb7 0.569 0.250 0.385
Rb8 0.616 0.750 0.944
Rb9 0.679 0.250 0.707
Rb10 0.821 0.750 0.207
Rb11 0.884 0.250 0.444
Rb12 0.931 0.750 0.885
Ga1 0.146 0.250 0.372
Ga2 0.354 0.750 0.872
Ga3 0.646 0.250 0.128
Ga4 0.854 0.750 0.628
Bi1 0.059 0.750 0.317
Bi2 0.201 0.750 0.972
Bi3 0.299 0.250 0.472
Bi4 0.441 0.250 0.817
Bi5 0.559 0.750 0.183
Bi6 0.701 0.750 0.528
Bi7 0.799 0.250 0.028
Bi8 0.941 0.250 0.683

B | # Rb3GaBi2 | Alexandria | PBE | relaxed
# Total magnetic moment   0.00 μB/cell
# Calculated volume   49.66 Å³ per atom
data_Rb3GaBi2
_cell_length_a 10.524
_cell_length_b 10.524
_cell_length_c 14.240
_cell_angle_alpha 115.87
_cell_angle_beta 115.87
_cell_angle_gamma 24.98
_symmetry_space_group_name_H-M 'P 1'
_symmetry_Int_Tables_number 1
_symmetry_space_group_name_Hall 'P 1'
loop_
_atom_site_label
_atom_site_fract_x
_atom_site_fract_y
_atom_site_fract_z
Rb1 0.040 0.040 0.234
Rb2 0.230 0.230 0.618
Rb3 0.341 0.341 0.994
Rb4 0.659 0.659 0.006
Rb5 0.770 0.770 0.382
Rb6 0.960 0.960 0.766
Ga1 0.425 0.425 0.348
Ga2 0.575 0.575 0.652
Bi1 0.141 0.141 0.783
Bi2 0.418 0.418 0.545
Bi3 0.582 0.582 0.455
Bi4 0.859 0.859 0.217

Relative energy table, unit meV/atom: A 0; B 125

A | # RbGaBi3 | Alexandria | PBE | relaxed
# Total magnetic moment   0.00 μB/cell
# Calculated volume   47.47 Å³ per atom
data_RbGaBi3
_cell_length_a 6.192
_cell_length_b 6.192
_cell_length_c 6.192
_cell_angle_alpha 90.00
_cell_angle_beta 90.00
_cell_angle_gamma 90.00
_symmetry_space_group_name_H-M 'P 1'
_symmetry_Int_Tables_number 1
_symmetry_space_group_name_Hall 'P 1'
loop_
_atom_site_label
_atom_site_fract_x
_atom_site_fract_y
_atom_site_fract_z
Rb1 0.000 0.000 0.000
Ga1 0.500 0.500 0.500
Bi1 0.000 0.000 0.500
Bi2 0.000 0.500 0.000
Bi3 0.500 0.000 0.000

B | # RbGaBi3 | Alexandria | PBE | relaxed
# Total magnetic moment   0.00 μB/cell
# Calculated volume   39.85 Å³ per atom
data_RbGaBi3
_cell_length_a 7.316
_cell_length_b 9.289
_cell_length_c 5.863
_cell_angle_alpha 90.00
_cell_angle_beta 90.00
_cell_angle_gamma 90.00
_symmetry_space_group_name_H-M 'P 1'
_symmetry_Int_Tables_number 1
_symmetry_space_group_name_Hall 'P 1'
loop_
_atom_site_label
_atom_site_fract_x
_atom_site_fract_y
_atom_site_fract_z
Rb1 0.000 0.088 0.000
Rb2 0.500 0.912 0.500
Ga1 0.000 0.527 0.302
Ga2 0.500 0.473 0.802
Bi1 0.000 0.766 0.595
Bi2 0.247 0.321 0.490
Bi3 0.253 0.679 0.990
Bi4 0.500 0.234 0.095
Bi5 0.747 0.679 0.990
Bi6 0.753 0.321 0.490

C | # RbGaBi3 | Alexandria | PBE | relaxed
# Total magnetic moment   0.00 μB/cell
# Calculated volume   36.98 Å³ per atom
data_RbGaBi3
_cell_length_a 5.697
_cell_length_b 5.697
_cell_length_c 5.697
_cell_angle_alpha 90.00
_cell_angle_beta 90.00
_cell_angle_gamma 90.00
_symmetry_space_group_name_H-M 'P 1'
_symmetry_Int_Tables_number 1
_symmetry_space_group_name_Hall 'P 1'
loop_
_atom_site_label
_atom_site_fract_x
_atom_site_fract_y
_atom_site_fract_z
Rb1 0.000 0.000 0.000
Ga1 0.500 0.500 0.500
Bi1 0.000 0.500 0.500
Bi2 0.500 0.000 0.500
Bi3 0.500 0.500 0.000

Relative energy table, unit meV/atom: A 1287; B 0; C 243

A | # Rb2GaBi | Alexandria | PBE | relaxed
# Total magnetic moment   0.57 μB/cell
# Calculated volume   42.13 Å³ per atom
data_Rb2GaBi
_cell_length_a 12.891
_cell_length_b 12.891
_cell_length_c 12.891
_cell_angle_alpha 156.62
_cell_angle_beta 156.62
_cell_angle_gamma 33.30
_symmetry_space_group_name_H-M 'P 1'
_symmetry_Int_Tables_number 1
_symmetry_space_group_name_Hall 'P 1'
loop_
_atom_site_label
_atom_site_fract_x
_atom_site_fract_y
_atom_site_fract_z
Rb1 0.112 0.625 0.987
Rb2 0.375 0.362 0.487
Rb3 0.638 0.125 0.013
Rb4 0.875 0.888 0.513
Ga1 0.000 0.000 0.000
Ga2 0.750 0.250 0.500
Bi1 0.250 0.750 0.500
Bi2 0.500 0.500 0.000

B | # Rb2GaBi | Alexandria | PBE | relaxed
# Total magnetic moment   0.00 μB/cell
# Calculated volume   44.58 Å³ per atom
data_Rb2GaBi
_cell_length_a 6.835
_cell_length_b 6.835
_cell_length_c 6.835
_cell_angle_alpha 140.99
_cell_angle_beta 79.15
_cell_angle_gamma 114.29
_symmetry_space_group_name_H-M 'P 1'
_symmetry_Int_Tables_number 1
_symmetry_space_group_name_Hall 'P 1'
loop_
_atom_site_label
_atom_site_fract_x
_atom_site_fract_y
_atom_site_fract_z
Rb1 0.187 0.000 0.187
Rb2 0.813 0.000 0.813
Ga1 0.719 0.219 0.500
Bi1 0.484 0.484 0.000

Relative energy table, unit meV/atom: A 434; B 0

A | # Rb2GaBi | Alexandria | PBE | relaxed
# Total magnetic moment   0.00 μB/cell
# Calculated volume   40.78 Å³ per atom
data_Rb2GaBi
_cell_length_a 6.133
_cell_length_b 6.133
_cell_length_c 6.133
_cell_angle_alpha 60.00
_cell_angle_beta 60.00
_cell_angle_gamma 60.00
_symmetry_space_group_name_H-M 'P 1'
_symmetry_Int_Tables_number 1
_symmetry_space_group_name_Hall 'P 1'
loop_
_atom_site_label
_atom_site_fract_x
_atom_site_fract_y
_atom_site_fract_z
Rb1 0.250 0.250 0.250
Rb2 0.750 0.750 0.750
Ga1 0.000 0.000 0.000
Bi1 0.500 0.500 0.500

B | # Rb2GaBi | Alexandria | PBE | relaxed
# Total magnetic moment   0.00 μB/cell
# Calculated volume   42.16 Å³ per atom
data_Rb2GaBi
_cell_length_a 7.356
_cell_length_b 7.356
_cell_length_c 6.389
_cell_angle_alpha 90.00
_cell_angle_beta 90.00
_cell_angle_gamma 77.31
_symmetry_space_group_name_H-M 'P 1'
_symmetry_Int_Tables_number 1
_symmetry_space_group_name_Hall 'P 1'
loop_
_atom_site_label
_atom_site_fract_x
_atom_site_fract_y
_atom_site_fract_z
Rb1 0.018 0.327 0.250
Rb2 0.327 0.018 0.750
Rb3 0.673 0.982 0.250
Rb4 0.982 0.673 0.750
Ga1 0.500 0.500 0.000
Ga2 0.500 0.500 0.500
Bi1 0.215 0.785 0.250
Bi2 0.785 0.215 0.750

Relative energy table, unit meV/atom: A 118; B 0